1.
{
  "formula": "InTcOs2",
  "functional": "PBE",
  "state": "optimized geometry",
  "lattice": [[-2.0247, 1.1943, 3.0704], [0.9439, -2.2112, 1.4825], [5.5038, 0.9293, 3.2679]],
  "species": ["Tc", "Os", "Os", "In"],
  "fractional_positions": [[0.5000, 0.2500, 0.2500], [0.0000, 0.5249, 0.4748], [0.0000, 0.9751, 0.0252], [0.5000, 0.7500, 0.7500]],
  "total_magnetization_mub_per_cell": 0.000,
  "rho_g_cm3": 15.5,
  "vol_a3_per_fu": 63.5,
  "formation_enthalpy_0k_ev_per_atom": 0.393,
  "space_group": "Pmmm"
}


2.
{
  "formula": "AlIn2Se4",
  "functional": "PBE",
  "state": "optimized geometry",
  "lattice": [[-5.0461, -6.6185, -0.1707], [4.5580, -3.7422, 10.3562], [-8.3106, 6.1842, 5.8923]],
  "species": ["In", "Se", "Se", "Al", "In", "Se", "Se", "Al", "Al", "Se", "Se", "In", "In", "Se", "Se", "Se", "Se", "Al", "Se", "Se", "In", "In", "Se", "Se", "Se", "Se", "In", "In"],
  "fractional_positions": [[0.0000, 0.2510, 0.7513], [0.7500, 0.3412, 0.1588], [0.0000, 0.4071, 0.9061], [0.7500, 0.0000, 0.5000], [0.5000, 0.2513, 0.7510], [0.2500, 0.6588, 0.8412], [0.0000, 0.5929, 0.0939], [0.2500, 0.0000, 0.5000], [0.2500, 0.5000, 0.0000], [0.2500, 0.8412, 0.3412], [0.7500, 0.8412, 0.3412], [0.0000, 0.2490, 0.2513], [0.5000, 0.7487, 0.2490], [0.5000, 0.5939, 0.0929], [0.7500, 0.1588, 0.6588], [0.2500, 0.3412, 0.1588], [0.7500, 0.6588, 0.8412], [0.7500, 0.5000, 0.0000], [0.2500, 0.1588, 0.6588], [0.5000, 0.0939, 0.4071], [0.0000, 0.7490, 0.2487], [0.5000, 0.2487, 0.2510], [0.0000, 0.0929, 0.4061], [0.0000, 0.9071, 0.5939], [0.5000, 0.9061, 0.5929], [0.5000, 0.4061, 0.9071], [0.0000, 0.7510, 0.7487], [0.5000, 0.7513, 0.7490]],
  "total_magnetization_mub_per_cell": 0.000,
  "e_form_raw_ev_per_atom": -0.3248,
  "rho_g_cm3": 3.2,
  "vol_a3_per_fu": 295.6,
  "space_group": "P4_2/mbc"
}